Computed, not measured: crystalline AgPtRh2 at its relaxed geometry at the PBE level of DFT.

Summary:
DFT formation energy = 12.57 kJ per mole of atoms
D(E_F) = 4.1 states/eV per cell
Energy relative to the lowest polymorph listed for this composition = 65 meV/atom

a b c (Å): 2.7871 2.7871 7.9532
angles (deg): 90.00 90.00 90.00
Last column: nearest neighbours and their distance in Å.
Fractional coordinates of all 4 atoms:
1 Ag 0.0000 0.0000 0.0000  4 Ag 2.79, 8 Rh 2.88
2 Pt 0.0000 0.0000 0.5000  8 Rh 2.72, 4 Pt 2.79
3 Rh 0.5000 0.5000 0.2646  4 Pt 2.72, 4 Rh 2.79, 4 Ag 2.88
4 Rh 0.5000 0.5000 0.7354  4 Pt 2.72, 4 Rh 2.79, 4 Ag 2.88

=====

Computed, not measured: crystalline AgPt3Rh2 at its relaxed geometry at the PBE level of DFT.

Summary:
DFT formation energy = 0.34 kJ per mole of atoms
D(E_F) = 9.6 states/eV per cell

a b c (Å): 2.7828 2.7828 11.9863
angles (deg): 90.00 90.00 90.00
Last column: nearest neighbours and their distance in Å.
Fractional coordinates of all 6 atoms:
1 Ag 0.0000 0.0000 0.0000  4 Ag 2.78, 8 Pt 2.92
2 Pt 0.5000 0.5000 0.1798  4 Rh 2.75, 4 Pt 2.78, 4 Ag 2.92
3 Pt 0.5000 0.5000 0.5000  8 Rh 2.74, 4 Pt 2.78
4 Pt 0.5000 0.5000 0.8202  4 Rh 2.75, 4 Pt 2.78, 4 Ag 2.92
5 Rh 0.0000 0.0000 0.3403  8 Pt 2.74-2.75, 4 Rh 2.78
6 Rh 0.0000 0.0000 0.6597  8 Pt 2.74-2.75, 4 Rh 2.78

=====

Computed, not measured: crystalline AgPt2Rh at its relaxed geometry at the PBE level of DFT.

Summary:
DFT formation energy = 3.06 kJ per mole of atoms
D(E_F) = 17.9 states/eV per cell
Energy relative to the lowest polymorph listed for this composition = 42 meV/atom

a b c (Å): 2.7884 2.7884 28.0518
angles (deg): 90.00 90.00 120.00
Last column: nearest neighbours and their distance in Å.
Fractional coordinates of all 12 atoms:
1 Ag 0.0000 0.0000 0.0000  6 Ag 2.79, 6 Pt 2.91-2.92
2 Ag 0.3333 0.6667 0.6667  6 Ag 2.79, 6 Pt 2.91-2.92
3 Ag 0.6667 0.3333 0.3333  6 Ag 2.79, 6 Pt 2.91-2.92
4 Pt 0.0000 0.0000 0.4195  3 Rh 2.76, 6 Pt 2.79, 3 Ag 2.91
5 Pt 0.0000 0.0000 0.5798  3 Rh 2.77, 6 Pt 2.79, 3 Ag 2.92
6 Pt 0.3333 0.6667 0.0862  3 Rh 2.76, 6 Pt 2.79, 3 Ag 2.91
7 Pt 0.3333 0.6667 0.2465  3 Rh 2.77, 6 Pt 2.79, 3 Ag 2.92
8 Pt 0.6667 0.3333 0.7529  3 Rh 2.76, 6 Pt 2.79, 3 Ag 2.91
9 Pt 0.6667 0.3333 0.9131  3 Rh 2.77, 6 Pt 2.79, 3 Ag 2.92
10 Rh 0.0000 0.0000 0.8328  6 Pt 2.76-2.77, 6 Rh 2.79
11 Rh 0.3333 0.6667 0.4995  6 Pt 2.76-2.77, 6 Rh 2.79
12 Rh 0.6667 0.3333 0.1661  6 Pt 2.76-2.77, 6 Rh 2.79